Ba2ZnCoTe2O2 | GGA+U | relaxed

Symmetry = P3m1 (156)
Raw total energy = -38.5 eV/cell

Geometry as POSCAR:
```
Ba2ZnCoTe2O2
1.0
-2.7535 -2.3555 2.3980
3.9968 -1.4961 -0.8170
4.2714 5.6837 10.4877
Ba Co O Te Zn
2 1 2 2 1
direct
0.6667 0.3333 0.2175
0.3333 0.6667 0.7148
0.0000 0.0000 0.5092
0.0000 0.0000 0.1595
0.0000 0.0000 0.6561
0.3333 0.6667 0.4313
0.6667 0.3333 0.9271
0.0000 0.0000 0.0090
```